No. 1
TaTl6O12 | PBE | optimized geometry

Properties
**Formation energy without anion corrections**: -0.985 eV/atom
**Space-group type**: No. 148
**Crystal system**: trigonal

Cell lengths 6.575, 6.575, 6.575 Å; angles 98.85, 98.85, 98.85 degrees
Fractional positions:
1 Ta 0.000 0.000 0.000
2 Tl 0.135 0.605 0.310
3 Tl 0.310 0.135 0.605
4 Tl 0.395 0.690 0.865
5 Tl 0.605 0.310 0.135
6 Tl 0.690 0.865 0.395
7 Tl 0.865 0.395 0.690
8 O 0.040 0.706 0.907
9 O 0.093 0.960 0.294
10 O 0.175 0.417 0.599
11 O 0.294 0.093 0.960
12 O 0.401 0.825 0.583
13 O 0.417 0.599 0.175
14 O 0.583 0.401 0.825
15 O 0.599 0.175 0.417
16 O 0.706 0.907 0.040
17 O 0.825 0.583 0.401
18 O 0.907 0.040 0.706
19 O 0.960 0.294 0.093

***

No. 2
TaTl3O | PBE | optimized geometry

Properties
**Formation energy without anion corrections**: 1.160 eV/atom
**Space-group type**: No. 221
**Crystal system**: cubic
**Relative energy among the computed polymorphs**: 514.3 meV/atom

Cell lengths 5.526, 5.526, 5.526 Å; angles 90.00, 90.00, 90.00 degrees
Fractional positions:
1 Ta 0.000 0.000 0.000
2 Tl 0.000 0.000 0.500
3 Tl 0.000 0.500 0.000
4 Tl 0.500 0.000 0.000
5 O 0.500 0.500 0.500

***

No. 3
UTa3Tl2O12 | PBE | optimized geometry

Properties
**Formation energy without anion corrections**: -2.462 eV/atom
**Space-group type**: No. 166
**Crystal system**: trigonal

Cell lengths 7.704, 7.704, 7.704 Å; angles 58.12, 58.12, 58.12 degrees
Fractional positions:
1 U 0.000 0.000 0.000
2 Ta 0.000 0.000 0.500
3 Ta 0.000 0.500 0.000
4 Ta 0.500 0.000 0.000
5 Tl 0.403 0.403 0.403
6 Tl 0.597 0.597 0.597
7 O 0.063 0.063 0.680
8 O 0.063 0.680 0.063
9 O 0.068 0.689 0.689
10 O 0.311 0.311 0.932
11 O 0.311 0.932 0.311
12 O 0.320 0.937 0.937
13 O 0.680 0.063 0.063
14 O 0.689 0.068 0.689
15 O 0.689 0.689 0.068
16 O 0.932 0.311 0.311
17 O 0.937 0.320 0.937
18 O 0.937 0.937 0.320

***

| no. | total DFT energy (no corrections) (eV per formula unit) | magnetic moment (μB/f.u.) |
| --- | --- | --- |
| 1 | -104.27 | 1.20 |
| 2 | -18.11 | 1.08 |
| 3 | -155.39 | 0.00 |